Entry from Alexandria: a relaxed structure of InAgHg (PBE).

Values from the calculation:
Its crystal system is trigonal. As for the formation energy: 0.04 eV per atom. The total magnetization is 0.0000 μB/atom. As for the energy: -1.925 eV/atom.

Cell: 3.348 3.348 7.001 Å, 90.00 90.00 120.00°
Fractional positions:
Hg  0.667  0.333  0.320
Ag  0.000  0.000  0.999
In  0.333  0.667  0.680

=====

Entry from Alexandria: a relaxed structure of In7AgHg2 (PBE).

Values from the calculation:
Its crystal system is monoclinic. As for the formation energy: 0.04 eV per atom. The total magnetization is 0.0000 μB/atom. As for the energy: -2.221 eV/atom.

Cell: 6.989 9.575 10.942 Å, 50.72 71.38 68.60°
Fractional positions:
Ag  0.979  0.250  0.750
Hg  0.653  0.916  0.670
In  0.700  0.082  0.083
In  0.085  0.999  0.637
In  0.829  0.807  0.980
In  0.616  0.693  0.520
In  0.915  0.001  0.363
In  0.135  0.582  0.583
In  0.384  0.307  0.480
Hg  0.762  0.416  0.170
In  0.171  0.193  0.020
In  0.300  0.918  0.917
In  0.440  0.750  0.250
In  0.865  0.418  0.417
Hg  0.238  0.584  0.830
In  0.722  0.501  0.863
In  0.560  0.250  0.750
Ag  0.021  0.750  0.250
Hg  0.347  0.084  0.330
In  0.278  0.499  0.137

=====

Entry from Alexandria: a relaxed structure of In6Ag3Hg (PBE).

Values from the calculation:
Its crystal system is monoclinic. As for the formation energy: 0.04 eV per atom. The total magnetization is 0.0000 μB/atom. As for the energy: -2.486 eV/atom.

Cell: 7.003 8.512 8.435 Å, 104.61 90.00 90.00°
Fractional positions:
In  0.134  0.289  0.796
In  0.410  0.180  0.066
In  0.829  0.332  0.077
In  0.329  0.168  0.423
Ag  0.691  0.035  0.262
In  0.671  0.832  0.577
In  0.366  0.789  0.296
In  0.171  0.668  0.923
In  0.634  0.211  0.704
Hg  0.500  0.500  0.500
In  0.910  0.320  0.434
Ag  0.191  0.465  0.238
Ag  0.309  0.965  0.738
Ag  0.000  0.000  0.500
In  0.590  0.820  0.934
In  0.866  0.711  0.204
Ag  0.500  0.500  0.000
Ag  0.809  0.535  0.762
In  0.090  0.680  0.566
Hg  0.000  0.000  0.000

=====

Entry from Alexandria: a relaxed structure of In6Ag5Hg (PBE).

Values from the calculation:
Its crystal system is monoclinic. As for the formation energy: 0.04 eV per atom. The total magnetization is 0.0000 μB/atom. As for the energy: -2.543 eV/atom.

Cell: 5.030 6.284 9.739 Å, 82.85 71.87 66.41°
Fractional positions:
Ag  0.337  0.325  0.500
In  0.503  0.000  0.254
Ag  0.000  0.000  0.500
Ag  0.675  0.650  0.000
Ag  0.663  0.675  0.500
In  0.158  0.659  0.743
In  0.183  0.659  0.257
In  0.842  0.341  0.257
Ag  0.325  0.350  0.000
In  0.497  0.000  0.746
In  0.817  0.341  0.743
Hg  0.000  0.000  0.000